# Pr2Ge4Ru5

Crystalline Pr2Ge4Ru5 at its relaxed geometry (GGA-PBE, Alexandria).

Calculated values
total energy	-7.24	eV per atom

abc: 5.963 5.940 7.375
angles: 78.29 66.15 59.87
Element x y z (fractional)
Ru (0.500, 0.500, 0.000)
Ge (0.517, 0.699, 0.267)
Ru (0.500, 0.000, 0.000)
Ru (0.250, 0.500, 0.500)
Ge (0.483, 0.301, 0.733)
Pr (0.128, 0.000, 0.744)
Ge (0.784, 0.699, 0.733)
Pr (0.872, 0.000, 0.256)
Ge (0.216, 0.301, 0.267)
Ru (0.750, 0.500, 0.500)
Ru (0.000, 0.500, 0.000)



# CaNdSm2Te4

Crystalline CaNdSm2Te4 at its relaxed geometry (GGA-PBE, Alexandria).

Calculated values
formation energy without anion corrections	-11.58	eV/f.u.

abc: 4.436 7.748 7.775
angles: 71.03 90.00 90.00
Element x y z (fractional)
Sm (0.500, 0.000, 0.500)
Sm (0.000, 0.000, 0.000)
Te (0.500, 0.249, 0.754)
Te (0.000, 0.750, 0.753)
Te (0.000, 0.250, 0.247)
Ca (0.500, 0.500, 0.000)
Nd (0.000, 0.500, 0.500)
Te (0.500, 0.751, 0.246)



# Pm5Tl2Hg

Crystalline Pm5Tl2Hg at its relaxed geometry (GGA-PBE, Alexandria).

Calculated values
total energy	-3.87	eV per atom

abc: 7.165 7.165 6.822
angles: 121.69 121.69 89.97
Element x y z (fractional)
Pm (0.222, 0.722, 0.944)
Tl (0.722, 0.222, 0.444)
Hg (0.222, 0.222, 0.443)
Pm (0.222, 0.222, 0.944)
Tl (0.222, 0.722, 0.444)
Pm (0.723, 0.723, 0.445)
Pm (0.722, 0.722, 0.944)
Pm (0.722, 0.222, 0.944)



# Ag2BiCl5

Crystalline Ag2BiCl5 at its relaxed geometry (GGA-PBE, Alexandria).

Calculated values
formation energy without anion corrections	-5.00	eV/f.u.

abc: 7.611 7.610 7.827
angles: 119.24 119.09 90.00
Element x y z (fractional)
Cl (0.317, 0.318, 0.129)
Cl (0.812, 0.318, 0.129)
Cl (0.814, 0.815, 0.134)
Ag (0.570, 0.071, 0.141)
Cl (0.320, 0.815, 0.134)
Bi (0.045, 0.045, 0.090)
Ag (0.070, 0.571, 0.141)
Cl (0.828, 0.825, 0.656)



# BeTlPS2

Crystalline BeTlPS2 at its relaxed geometry (GGA-PBE, Alexandria).

Calculated values
formation energy without anion corrections	7.59	eV/f.u.

abc: 5.104 5.104 5.207
angles: 90.00 90.00 90.00
Each line ends with the local moment (μB).
Element x y z (fractional)
S (0.000, 0.500, 0.000)  0.08
S (0.500, 0.000, 0.000)  0.08
P (0.000, 0.000, 0.500)  0.49
Be (0.500, 0.500, 0.500)  -0.14
Tl (0.000, 0.000, 0.000)  0.00



# TlIrPd2

Crystalline TlIrPd2 at its relaxed geometry (GGA-PBE, Alexandria).

Calculated values
total energy	-4.96	eV per atom

abc: 3.913 3.913 9.984
angles: 78.70 78.70 90.00
Element x y z (fractional)
Tl (0.000, 0.000, 0.000)
Ir (0.250, 0.750, 0.500)
Pd (0.610, 0.125, 0.250)
Ir (0.500, 0.500, 0.000)
Tl (0.750, 0.250, 0.500)
Pd (0.375, 0.390, 0.750)
Pd (0.875, 0.860, 0.750)
Pd (0.140, 0.625, 0.250)



# CaFeSi2Os

Crystalline CaFeSi2Os at its relaxed geometry (GGA-PBE, Alexandria).

Calculated values
formation energy without anion corrections	-2.48	eV/f.u.

abc: 4.020 4.020 5.814
angles: 110.23 110.23 90.00
Each line ends with the local moment (μB).
Element x y z (fractional)
Si (0.374, 0.374, 0.747)  -0.04
Ca (0.000, 0.000, 0.000)  0.00
Si (0.626, 0.626, 0.253)  -0.04
Fe (0.750, 0.250, 0.500)  1.50
Os (0.250, 0.750, 0.500)  0.08



# PrSm3Bi2

Crystalline PrSm3Bi2 at its relaxed geometry (GGA-PBE, Alexandria).

Calculated values
total energy	-5.00	eV per atom

abc: 4.475 10.861 10.146
angles: 124.34 90.00 101.89
Each line ends with the local moment (μB).
Element x y z (fractional)
Bi (0.490, 0.981, 0.824)  0.00
Sm (0.688, 0.376, 0.485)  0.16
Sm (0.943, 0.886, 0.558)  0.05
Pr (0.888, 0.777, 0.896)  0.00
Sm (0.312, 0.624, 0.515)  0.16
Sm (0.643, 0.286, 0.812)  -0.01
Bi (0.247, 0.494, 0.779)  0.00
Pr (0.112, 0.223, 0.104)  0.00
Sm (0.357, 0.714, 0.188)  -0.01
Sm (0.057, 0.114, 0.442)  0.05
Bi (0.753, 0.506, 0.221)  0.00
Bi (0.510, 0.019, 0.176)  0.00



# NiSbP2

Crystalline NiSbP2 at its relaxed geometry (GGA-PBE, Alexandria).

Calculated values
formation energy without anion corrections	-0.31	eV/f.u.

abc: 3.612 4.275 4.632
angles: 73.90 90.00 90.00
Element x y z (fractional)
P (0.000, 0.500, 0.598)
Ni (0.500, 0.750, 0.750)
P (0.000, 0.000, 0.902)
Sb (0.500, 0.250, 0.250)



# Ba3Ce3YTe8

Crystalline Ba3Ce3YTe8 at its relaxed geometry (GGA-PBE, Alexandria).

Calculated values
formation energy without anion corrections	-22.73	eV/f.u.

abc: 9.219 9.222 9.658
angles: 118.50 90.00 120.02
Each line ends with the local moment (μB).
Element x y z (fractional)
Te (0.237, 0.473, 0.719)  -0.01
Ba (0.000, 0.500, 0.000)  0.02
Te (0.742, 0.484, 0.726)  -0.02
Te (0.254, 0.018, 0.281)  -0.01
Te (0.746, 0.982, 0.719)  -0.01
Ba (0.500, 0.500, 0.000)  0.01
Ce (0.000, 0.500, 0.500)  1.09
Ce (0.500, 0.000, 0.500)  1.08
Te (0.237, 0.982, 0.719)  -0.01
Y (0.000, 0.000, 0.500)  0.03
Te (0.763, 0.527, 0.281)  -0.01
Te (0.763, 0.018, 0.281)  -0.01
Ba (0.000, 0.000, 0.000)  0.01
Ce (0.500, 0.500, 0.500)  1.09
Te (0.258, 0.516, 0.274)  -0.02



# Pr2ErPuO8

Crystalline Pr2ErPuO8 at its relaxed geometry (GGA-PBE, Alexandria).

Calculated values
formation energy without anion corrections	-35.74	eV/f.u.

abc: 4.033 5.584 7.557
angles: 91.65 89.59 96.35
Each line ends with the local moment (μB).
Element x y z (fractional)
Pu (0.000, 0.000, 0.000)  1.49
O (0.043, 0.764, 0.232)  -0.04
O (0.945, 0.218, 0.214)  -0.08
O (0.422, 0.212, 0.997)  -0.08
O (0.957, 0.236, 0.768)  -0.04
Pr (0.501, 0.488, 0.741)  0.00
O (0.055, 0.782, 0.786)  -0.08
Pr (0.499, 0.512, 0.259)  0.00
Er (0.000, 0.000, 0.500)  0.00
O (0.578, 0.788, 0.003)  -0.08
O (0.478, 0.243, 0.489)  -0.02
O (0.522, 0.757, 0.511)  -0.02



# LiCuPO4

Crystalline LiCuPO4 at its relaxed geometry (GGA-PBE, Alexandria).

Calculated values
formation energy without anion corrections	-12.46	eV/f.u.

abc: 5.606 6.316 9.499
angles: 69.99 80.64 83.02
Each line ends with the local moment (μB).
Element x y z (fractional)
Cu (0.781, 0.627, 0.085)  0.61
O (0.299, 0.512, 0.685)  0.07
Li (0.343, 0.533, 0.332)  0.00
O (0.216, 0.070, 0.885)  0.13
P (0.297, 0.818, 0.977)  0.00
O (0.242, 0.934, 0.630)  0.07
P (0.703, 0.182, 0.023)  0.00
Cu (0.992, 0.890, 0.271)  0.59
O (0.441, 0.238, 0.082)  0.06
Li (0.657, 0.467, 0.668)  0.00
O (0.217, 0.771, 0.426)  0.08
O (0.758, 0.066, 0.370)  0.07
Li (0.400, 0.075, 0.322)  0.00
P (0.146, 0.730, 0.602)  0.00
O (0.783, 0.229, 0.574)  0.08
P (0.854, 0.270, 0.398)  0.00
O (0.559, 0.762, 0.918)  0.06
O (0.126, 0.293, 0.352)  0.00
Cu (0.008, 0.110, 0.729)  0.59
Cu (0.219, 0.373, 0.915)  0.61
O (0.784, 0.930, 0.115)  0.13
O (0.267, 0.782, 0.149)  0.07
O (0.701, 0.488, 0.315)  0.07
O (0.874, 0.707, 0.648)  0.00
O (0.733, 0.218, 0.851)  0.07
O (0.124, 0.670, 0.945)  0.12
Li (0.600, 0.925, 0.678)  0.00
O (0.876, 0.330, 0.055)  0.12